[1]
# TaSe5

A relaxed structure of TaSe5 (GGA-PBE, the Alexandria database).

Computed properties:
Its uncorrected formation energy is 0.39 eV/f.u. The value obtained for the final energy is -28.89 eV/cell.

```
TaSe5
1.0
3.161 0.000 0.000
0.000 3.161 0.000
0.000 0.000 13.789
Ta Se
1 5
direct
0.000 0.000 0.000
0.000 0.000 0.367
0.000 0.000 0.633
0.500 0.500 0.116
0.500 0.500 0.500
0.500 0.500 0.884
```


[2]
# AcHo3Se6

A relaxed structure of AcHo3Se6 (GGA-PBE, the Alexandria database).

Computed properties:
Its uncorrected formation energy is -19.30 eV/f.u. The value obtained for the final energy is -116.10 eV/cell.

```
AcHo3Se6
1.0
11.697 0.000 0.000
0.000 4.208 0.000
-3.941 0.000 11.332
Ac Ho Se
2 6 12
direct
0.053 0.250 0.198
0.947 0.750 0.802
0.160 0.250 0.589
0.322 0.750 0.001
0.449 0.250 0.335
0.551 0.750 0.665
0.678 0.250 0.999
0.840 0.750 0.411
0.084 0.750 0.412
0.126 0.250 0.965
0.202 0.750 0.749
0.275 0.750 0.232
0.390 0.250 0.553
0.481 0.250 0.112
0.519 0.750 0.888
0.610 0.750 0.447
0.725 0.250 0.768
0.798 0.250 0.251
0.874 0.750 0.035
0.916 0.250 0.588
```


[3]
# LaTb6Sm2Y3

A relaxed structure of LaTb6Sm2Y3 (GGA-PBE, the Alexandria database).

Computed properties:
The formation energy is 18.8 meV/atom. The value obtained for the final energy is -61.31 eV/cell.

```
LaTb6Sm2Y3
1.0
3.112 -5.388 0.000
3.112 5.388 0.000
-2.068 0.000 11.720
La Tb Sm Y
1 6 2 3
direct
0.000 0.000 0.000
0.085 0.419 0.253
0.250 0.250 0.747
0.419 0.085 0.253
0.581 0.915 0.747
0.750 0.750 0.253
0.915 0.581 0.747
0.333 0.667 0.000
0.667 0.333 0.000
0.167 0.833 0.500
0.500 0.500 0.500
0.833 0.167 0.500
```


[4]
# Si2NO

A relaxed structure of Si2NO (GGA-PBE, the Alexandria database).

Computed properties:
Its uncorrected formation energy is -0.39 eV/f.u. The distance to the lowest polymorph of the same formula is 0.000 eV per atom. The value obtained for the final energy is -49.03 eV/cell.

```
Si2NO
1.0
-1.953 1.953 5.674
1.953 -1.953 5.674
1.953 1.953 -5.674
Si N O
4 2 2
direct
0.112 0.625 0.987
0.375 0.362 0.487
0.638 0.125 0.013
0.875 0.888 0.513
0.000 0.000 0.000
0.750 0.250 0.500
0.250 0.750 0.500
0.500 0.500 0.000
```


[5]
# Tl2CdInIr

A relaxed structure of Tl2CdInIr (GGA-PBE, the Alexandria database).

Computed properties:
The formation energy is 88.2 meV/atom. The value obtained for the final energy is -16.81 eV/cell.

```
Tl2CdInIr
1.0
5.332 0.000 0.000
0.000 5.332 0.000
0.000 0.000 5.230
Tl Cd In Ir
2 1 1 1
direct
0.000 0.500 0.000
0.500 0.000 0.000
0.000 0.000 0.500
0.500 0.500 0.500
0.500 0.500 0.000
```


[6]
# Ac2CeHf

A relaxed structure of Ac2CeHf (GGA-PBE, the Alexandria database).

Computed properties:
The formation energy is 594.4 meV/atom. The value obtained for the final energy is -21.73 eV/cell.

```
Ac2CeHf
1.0
1.770 1.022 12.586
-1.770 1.022 12.586
0.000 -2.044 12.586
Ac Ce Hf
2 1 1
direct
0.085 0.085 0.085
0.915 0.915 0.915
0.500 0.500 0.500
0.000 0.000 0.000
```


[7]
# LaZr3Ir

A relaxed structure of LaZr3Ir (GGA-PBE, the Alexandria database).

Computed properties:
The formation energy is -27.8 meV/atom. The distance to the lowest polymorph of the same formula is 0.000 eV per atom. The value obtained for the final energy is -39.57 eV/cell.

```
LaZr3Ir
1.0
5.165 0.000 0.000
0.000 5.165 0.000
0.000 0.000 5.165
La Zr Ir
1 3 1
direct
0.000 0.000 0.000
0.000 0.500 0.500
0.500 0.000 0.500
0.500 0.500 0.000
0.500 0.500 0.500
```


[8]
# La2BeTeIr

A relaxed structure of La2BeTeIr (GGA-PBE, the Alexandria database).

Computed properties:
Its uncorrected formation energy is -3.97 eV/f.u. The value obtained for the final energy is -29.56 eV/cell.

```
La2BeTeIr
1.0
5.575 0.000 0.000
0.000 5.575 0.000
0.000 0.000 4.395
La Be Te Ir
2 1 1 1
direct
0.000 0.500 0.000
0.500 0.000 0.000
0.000 0.000 0.500
0.500 0.500 0.500
0.000 0.000 0.000
```